[1]
Density functional theory data (PBE) for crystalline CaZrAs3 at its relaxed geometry.

The formation energy comes out at -0.40 eV per atom. The calculation puts the distance to the lowest polymorph of the same formula at 0.00 eV per formula unit.

Unit cell a=5.1926 b=5.1926 c=5.1926 alpha=90.00 beta=90.00 gamma=90.00
Closest atoms and distances in Å follow each position.
Space group Pm-3m (No. 221)
Asymmetric unit:
Ca 0.0000 0.0000 0.0000 x1  12 As 3.67
Zr 0.5000 0.5000 0.5000 x1  6 As 2.60
As 0.0000 0.5000 0.5000 x3  2 Zr 2.60

=====

[2]
Density functional theory data (PBE) for crystalline RbOsBr2 at its relaxed geometry.

The uncorrected formation energy is 25.8 kJ/mol of atoms. The calculation puts the distance to the lowest polymorph of the same formula at 0.00 eV per formula unit.

Unit cell a=6.4155 b=6.4155 c=13.6634 alpha=90.00 beta=90.00 gamma=90.00
Closest atoms and distances in Å follow each position.
Space group I-42d (No. 122)
Asymmetric unit:
Rb 0.0000 0.0000 0.0000 x4  4 Br 3.34
Os 0.0000 0.0000 0.5000 x4  4 Br 2.48
Br 0.1281 0.2500 0.6250 x8  2 Os 2.48

=====

[3]
Density functional theory data (PBE) for crystalline Rb4TlCu3Br12 at its relaxed geometry.

The uncorrected formation energy is -86.7 kJ/mol of atoms.

Unit cell a=10.7313 b=10.7313 c=10.7313 alpha=90.00 beta=90.00 gamma=90.00
Closest atoms and distances in Å follow each position.
Space group Im-3m (No. 229)
Asymmetric unit:
Rb 0.2500 0.2500 0.2500 x8  12 Br 3.79-3.80
Tl 0.0000 0.0000 0.0000 x2  6 Br 2.89
Cu 0.0000 0.0000 0.5000 x6  6 Br 2.48-2.68
Br 0.0000 0.0000 0.2693 x12  1 Cu 2.48
Br 0.0000 0.2500 0.5000 x12  2 Cu 2.68

=====

[4]
Density functional theory data (PBE) for crystalline P2Os at its relaxed geometry.

The formation energy comes out at -0.11 eV per atom.

Unit cell a=3.5198 b=3.5198 c=4.7745 alpha=90.00 beta=90.00 gamma=120.00
Closest atoms and distances in Å follow each position.
Space group P-6m2 (No. 187)
Asymmetric unit:
P 0.0000 0.0000 0.2394 x2  2 P 2.29-2.49, 3 Os 2.38
Os 0.3333 0.6667 0.5000 x1  6 P 2.38

=====

[5]
Density functional theory data (PBE) for crystalline TbHfO4 at its relaxed geometry.

The uncorrected formation energy is -301.5 kJ/mol of atoms.

Unit cell a=7.2785 b=10.7783 c=5.2935 alpha=90.00 beta=131.90 gamma=90.00
Closest atoms and distances in Å follow each position.
Space group C2/c (No. 15)
Asymmetric unit:
Tb 0.0000 0.1279 0.2500 x4  8 O 2.36-2.43
Hf 0.0000 0.3994 0.7500 x4  6 O 2.03-2.27
O 0.1780 0.2774 0.6841 x8  1 Hf 2.03
O 0.2401 0.4767 0.2250 x8  2 Hf 2.05-2.27

=====

[6]
Density functional theory data (PBE) for crystalline Rb2Sb2I at its relaxed geometry.

The uncorrected formation energy is -47.7 kJ/mol of atoms. The calculation puts the distance to the lowest polymorph of the same formula at 0.00 eV per formula unit.

Unit cell a=9.7072 b=9.7072 c=4.9012 alpha=90.00 beta=90.00 gamma=90.00
Closest atoms and distances in Å follow each position.
Space group P4/mbm (No. 127)
Asymmetric unit:
Rb 0.1988 0.3012 0.0000 x4  6 Sb 3.74-3.89
Sb 0.0952 0.5952 0.5000 x4  1 Sb 2.61
I 0.0000 0.0000 0.5000 x2  4 Sb 4.04, 8 Rb 4.28